*A*
Computed, not measured: a geometry-optimized HS2ClF structure at the PBE level of DFT.

Calculated values
- SG: No. 123
- Crystal system: tetragonal
- N(E_F): 4.83 states/eV/cell

Cell and atoms, written as POSCAR:
```
HS2ClF
1.0
4.0747 0.0000 0.0000
0.0000 4.0747 0.0000
0.0000 0.0000 6.7990
S H Cl F
2 1 1 1
direct
0.5000 0.0000 0.0000
0.0000 0.5000 0.0000
0.5000 0.5000 0.5000
0.0000 0.0000 0.5000
0.0000 0.0000 0.0000
```


*B*
Computed, not measured: a geometry-optimized HS2ClF structure at the PBE level of DFT.

Calculated values
- SG: No. 123
- Crystal system: tetragonal
- N(E_F): 3.83 states/eV/cell

Cell and atoms, written as POSCAR:
```
HS2ClF
1.0
-1.7763 -2.4299 1.8018
0.4586 -2.2817 -2.6249
5.3708 -1.9643 2.6458
S H F Cl
2 1 1 1
direct
0.5000 0.0000 0.0000
0.0000 0.5000 0.0000
0.0000 0.0000 0.0000
0.5000 0.5000 0.5000
0.0000 0.0000 0.5000
```


Stability check: which of them is most stable? *B*.


*A*
Computed, not measured: a geometry-optimized HfClF2 structure at the PBE level of DFT.

Calculated values
- SG: No. 225
- Crystal system: cubic
- N(E_F): 2.20 states/eV/cell

Cell and atoms, written as POSCAR:
```
HfClF2
1.0
0.0000 2.9338 2.9338
2.9338 0.0000 2.9338
2.9338 2.9338 0.0000
Hf F Cl
1 2 1
direct
0.5000 0.5000 0.5000
0.2500 0.2500 0.2500
0.7500 0.7500 0.7500
0.0000 0.0000 0.0000
```


*B*
Computed, not measured: a geometry-optimized HfClF2 structure at the PBE level of DFT.

Calculated values
- SG: No. 122
- Crystal system: tetragonal
- N(E_F): 4.86 states/eV/cell

Cell and atoms, written as POSCAR:
```
HfClF2
1.0
4.4438 0.0000 0.0000
0.0000 4.4438 0.0000
2.2219 2.2219 6.8969
F Cl Hf
4 2 2
direct
0.3750 0.1703 0.7500
0.9203 0.6250 0.2500
0.8297 0.1250 0.2500
0.8750 0.0797 0.7500
0.2500 0.7500 0.5000
0.5000 0.5000 0.0000
0.7500 0.2500 0.5000
0.0000 0.0000 0.0000
```


Stability check: which of them is most stable? *B*.


*A*
Computed, not measured: a geometry-optimized HfCl2F structure at the PBE level of DFT.

Calculated values
- SG: No. 225
- Crystal system: cubic
- N(E_F): 2.63 states/eV/cell

Cell and atoms, written as POSCAR:
```
HfCl2F
1.0
0.0000 3.1425 3.1425
3.1425 0.0000 3.1425
3.1425 3.1425 0.0000
F Hf Cl
1 1 2
direct
0.0000 0.0000 0.0000
0.5000 0.5000 0.5000
0.2500 0.2500 0.2500
0.7500 0.7500 0.7500
```


*B*
Computed, not measured: a geometry-optimized HfCl2F structure at the PBE level of DFT.

Calculated values
- SG: No. 122
- Crystal system: tetragonal
- N(E_F): 3.46 states/eV/cell

Cell and atoms, written as POSCAR:
```
HfCl2F
1.0
-6.1069 0.4645 -7.0658
6.3357 -3.8084 -5.7262
-0.5893 -3.5696 -5.9126
Cl F Hf
4 2 2
direct
0.3750 0.2145 0.7500
0.8750 0.0355 0.7500
0.7855 0.1250 0.2500
0.9645 0.6250 0.2500
0.2500 0.7500 0.5000
0.5000 0.5000 0.0000
0.7500 0.2500 0.5000
0.0000 0.0000 0.0000
```


Stability check: which of them is most stable? *B*.


*A*
Computed, not measured: a geometry-optimized HfClF3 structure at the PBE level of DFT.

Calculated values
- SG: No. 221
- Crystal system: cubic
- N(E_F): 0.00 states/eV/cell

Cell and atoms, written as POSCAR:
```
HfClF3
1.0
-2.0721 1.5490 3.2304
-3.4022 -2.0200 -1.2138
1.1224 -3.2633 2.2847
Hf F Cl
1 3 1
direct
0.0000 0.0000 0.0000
0.0000 0.5000 0.0000
0.5000 0.0000 0.0000
0.0000 0.0000 0.5000
0.5000 0.5000 0.5000
```


*B*
Computed, not measured: a geometry-optimized HfClF3 structure at the PBE level of DFT.

Calculated values
- SG: No. 31
- Crystal system: orthorhombic
- N(E_F): 0.00 states/eV/cell

Cell and atoms, written as POSCAR:
```
HfClF3
1.0
5.1226 -0.0002 0.0001
0.0002 4.8605 -0.0007
0.0003 0.0009 6.1734
F Hf Cl
6 2 2
direct
0.8944 0.9963 0.7007
0.4520 0.7739 0.9587
0.9520 0.5789 0.4587
0.4520 0.7739 0.4429
0.9520 0.5789 0.9429
0.3944 0.3565 0.2008
0.1936 0.7683 0.7008
0.6936 0.5845 0.2008
0.8861 0.0823 0.2008
0.3861 0.2705 0.7008
```


*C*
Computed, not measured: a geometry-optimized HfClF3 structure at the PBE level of DFT.

Calculated values
- SG: No. 12
- Crystal system: monoclinic
- N(E_F): 0.00 states/eV/cell

Cell and atoms, written as POSCAR:
```
HfClF3
1.0
-0.8628 2.9475 -4.4243
-5.7173 -3.3673 -1.1282
-5.6852 2.2527 2.0123
Cl F Hf
2 6 2
direct
0.4781 0.6732 0.3728
0.9060 0.9764 0.7663
0.3664 0.6583 0.9040
0.0177 0.9914 0.2350
0.3664 0.1569 0.9040
0.9477 0.4430 0.8332
0.4364 0.2067 0.3058
0.0177 0.4928 0.2350
0.1920 0.3249 0.0695
0.1920 0.8248 0.0695
```


Stability check: which of them is most stable? *B*.


*A*
Computed, not measured: a geometry-optimized HfCl3F structure at the PBE level of DFT.

Calculated values
- SG: No. 221
- Crystal system: cubic
- N(E_F): 7.91 states/eV/cell

Cell and atoms, written as POSCAR:
```
HfCl3F
1.0
-1.0859 -3.0593 3.6471
-3.0829 -2.3985 -2.9298
3.6273 -2.9543 -1.3982
Cl F Hf
3 1 1
direct
0.5000 0.0000 0.0000
0.0000 0.5000 0.0000
0.0000 0.0000 0.5000
0.5000 0.5000 0.5000
0.0000 0.0000 0.0000
```


*B*
Computed, not measured: a geometry-optimized HfCl3F structure at the PBE level of DFT.

Calculated values
- SG: No. 1
- Crystal system: triclinic
- N(E_F): 0.00 states/eV/cell

Cell and atoms, written as POSCAR:
```
HfCl3F
1.0
5.8203 -0.0033 0.0146
-0.0027 6.7345 -0.0012
0.0180 0.0009 7.0682
F Hf Cl
2 2 6
direct
0.8905 0.8805 0.2048
0.3899 0.4723 0.7047
0.6607 0.6780 0.1949
0.1607 0.6748 0.6948
0.9270 0.5094 0.9444
0.4281 0.8448 0.9549
0.9276 0.5079 0.4549
0.9725 0.9850 0.7050
0.4720 0.3678 0.2050
0.4273 0.8434 0.4444
```


Stability check: which of them is most stable? *B*.


*A*
Computed, not measured: a geometry-optimized Hf2ClF structure at the PBE level of DFT.

Calculated values
- SG: No. 122
- Crystal system: tetragonal
- N(E_F): 4.69 states/eV/cell

Cell and atoms, written as POSCAR:
```
Hf2ClF
1.0
-1.9949 -2.6156 -4.5739
2.5199 -4.7688 1.6280
-3.8168 -4.9875 1.0470
F Hf Cl
2 4 2
direct
0.5000 0.5000 0.0000
0.2500 0.7500 0.5000
0.8750 0.8282 0.7500
0.1718 0.6250 0.2500
0.3750 0.4218 0.7500
0.5782 0.1250 0.2500
0.7500 0.2500 0.5000
0.0000 0.0000 0.0000
```


*B*
Computed, not measured: a geometry-optimized Hf2ClF structure at the PBE level of DFT.

Calculated values
- SG: No. 225
- Crystal system: cubic
- N(E_F): 1.46 states/eV/cell

Cell and atoms, written as POSCAR:
```
Hf2ClF
1.0
-3.5039 -0.4458 2.8132
-3.9857 -1.4313 -1.5671
-1.5100 -4.1133 1.0915
Cl Hf F
1 2 1
direct
0.5000 0.5000 0.5000
0.7500 0.7500 0.7500
0.2500 0.2500 0.2500
0.0000 0.0000 0.0000
```


Stability check: which of them is most stable? *A*.


*A*
Computed, not measured: a geometry-optimized HfN2ClF structure at the PBE level of DFT.

Calculated values
- SG: No. 123
- Crystal system: tetragonal
- N(E_F): 3.34 states/eV/cell

Cell and atoms, written as POSCAR:
```
HfN2ClF
1.0
4.3752 0.0000 0.0000
0.0000 4.3752 0.0000
0.0000 0.0000 4.1183
N Cl Hf F
2 1 1 1
direct
0.5000 0.0000 0.0000
0.0000 0.5000 0.0000
0.5000 0.5000 0.5000
0.0000 0.0000 0.0000
0.0000 0.0000 0.5000
```


*B*
Computed, not measured: a geometry-optimized HfN2ClF structure at the PBE level of DFT.

Calculated values
- SG: No. 123
- Crystal system: tetragonal
- N(E_F): 1.02 states/eV/cell

Cell and atoms, written as POSCAR:
```
HfN2ClF
1.0
3.9477 0.0000 0.0000
0.0000 3.9477 0.0000
0.0000 0.0000 3.8581
Hf N Cl F
1 2 1 1
direct
0.5000 0.5000 0.5000
0.5000 0.0000 0.0000
0.0000 0.5000 0.0000
0.0000 0.0000 0.0000
0.0000 0.0000 0.5000
```


Stability check: which of them is most stable? *A*.


*A*
Computed, not measured: a geometry-optimized HfNClF2 structure at the PBE level of DFT.

Calculated values
- SG: No. 123
- Crystal system: tetragonal
- N(E_F): 2.32 states/eV/cell

Cell and atoms, written as POSCAR:
```
HfNClF2
1.0
-2.1445 2.5748 2.3790
2.0014 -1.3904 3.3090
3.0591 3.0668 -0.5616
N Hf F Cl
1 1 2 1
direct
0.0000 0.0000 0.5000
0.0000 0.0000 0.0000
0.0000 0.5000 0.0000
0.5000 0.0000 0.0000
0.5000 0.5000 0.5000
```


*B*
Computed, not measured: a geometry-optimized HfNClF2 structure at the PBE level of DFT.

Calculated values
- SG: No. 123
- Crystal system: tetragonal
- N(E_F): 2.88 states/eV/cell

Cell and atoms, written as POSCAR:
```
HfNClF2
1.0
4.2463 0.0000 0.0000
0.0000 4.2463 0.0000
0.0000 0.0000 3.9534
F N Cl Hf
2 1 1 1
direct
0.5000 0.0000 0.0000
0.0000 0.5000 0.0000
0.0000 0.0000 0.5000
0.0000 0.0000 0.0000
0.5000 0.5000 0.5000
```


Stability check: which of them is most stable? *A*.


*A*
Computed, not measured: a geometry-optimized HfSCl2F structure at the PBE level of DFT.

Calculated values
- SG: No. 123
- Crystal system: tetragonal
- N(E_F): 4.62 states/eV/cell

Cell and atoms, written as POSCAR:
```
HfSCl2F
1.0
-2.7312 0.7989 4.0200
0.6930 -4.6712 1.3992
4.0384 1.3412 2.4772
Cl Hf S F
2 1 1 1
direct
0.5000 0.0000 0.0000
0.0000 0.5000 0.0000
0.0000 0.0000 0.0000
0.0000 0.0000 0.5000
0.5000 0.5000 0.5000
```


*B*
Computed, not measured: a geometry-optimized HfSCl2F structure at the PBE level of DFT.

Calculated values
- SG: No. 123
- Crystal system: tetragonal
- N(E_F): 2.07 states/eV/cell

Cell and atoms, written as POSCAR:
```
HfSCl2F
1.0
-4.5974 1.8699 0.2849
-0.6739 -0.9196 -4.8388
-1.3038 -3.3296 0.8144
Hf S Cl F
1 1 2 1
direct
0.5000 0.5000 0.5000
0.0000 0.0000 0.5000
0.5000 0.0000 0.0000
0.0000 0.5000 0.0000
0.0000 0.0000 0.0000
```


Stability check: which of them is most stable? *A*.


*A*
Computed, not measured: a geometry-optimized HgClF structure at the PBE level of DFT.

Calculated values
- SG: No. 11
- Crystal system: monoclinic
- N(E_F): 0.00 states/eV/cell

Cell and atoms, written as POSCAR:
```
HgClF
1.0
3.8235 0.0000 -0.0001
0.0000 6.2030 2.4915
-0.0004 1.1446 6.6934
F Cl Hg
2 2 2
direct
0.9300 0.3193 0.9590
0.4300 0.6735 0.8961
0.4300 0.7887 0.3662
0.9300 0.2040 0.4889
0.4300 0.2700 0.1885
0.9300 0.7227 0.6667
```


*B*
Computed, not measured: a geometry-optimized HgClF structure at the PBE level of DFT.

Calculated values
- SG: No. 7
- Crystal system: monoclinic
- N(E_F): 0.00 states/eV/cell

Cell and atoms, written as POSCAR:
```
HgClF
1.0
-1.6491 0.0176 3.6454
-0.5732 -6.2153 -0.2293
6.2481 -0.6093 0.8953
Hg F Cl
2 2 2
direct
0.9641 0.7940 0.4253
0.4641 0.2060 0.9253
0.0055 0.1110 0.7023
0.5055 0.8890 0.2023
0.4674 0.6590 0.6729
0.9674 0.3410 0.1729
```


Stability check: which of them is most stable? *B*.


*A*
Computed, not measured: a geometry-optimized HgClF structure at the PBE level of DFT.

Calculated values
- SG: No. 156
- Crystal system: trigonal

Cell and atoms, written as POSCAR:
```
HgClF
1.0
-0.4378 -5.0907 1.6417
2.9487 -0.9786 -2.2482
0.6318 1.1116 3.6155
Cl Hg F
1 1 1
direct
0.7536 0.6667 0.3333
0.0342 0.0000 0.0000
0.2122 0.3333 0.6667
```


*B*
Computed, not measured: a geometry-optimized HgClF structure at the PBE level of DFT.

Calculated values
- SG: No. 216
- Crystal system: cubic

Cell and atoms, written as POSCAR:
```
HgClF
1.0
-3.3271 -0.9791 2.6473
-3.8443 -1.1990 -1.6794
-1.3492 -4.1326 0.3713
Hg Cl F
1 1 1
direct
0.2500 0.2500 0.2500
0.5000 0.5000 0.5000
0.0000 0.0000 0.0000
```


Stability check: which of them is most stable? *A*.


*A*
Computed, not measured: a geometry-optimized HgClF3 structure at the PBE level of DFT.

Calculated values
- SG: No. 221
- Crystal system: cubic
- N(E_F): 5.77 states/eV/cell

Cell and atoms, written as POSCAR:
```
HgClF3
1.0
-2.2106 3.2172 -1.9710
-0.4979 -2.5132 -3.5437
-3.7400 -1.5670 1.6369
F Cl Hg
3 1 1
direct
0.0000 0.0000 0.5000
0.5000 0.0000 0.0000
0.0000 0.5000 0.0000
0.0000 0.0000 0.0000
0.5000 0.5000 0.5000
```


*B*
Computed, not measured: a geometry-optimized HgClF3 structure at the PBE level of DFT.

Calculated values
- SG: No. 14
- Crystal system: monoclinic
- N(E_F): 16.76 states/eV/cell

Cell and atoms, written as POSCAR:
```
HgClF3
1.0
-7.0546 0.0241 -1.6307
-1.2423 -6.2145 5.2824
-1.9278 1.4332 8.3609
Cl F Hg
4 12 4
direct
0.3734 0.5000 0.5381
0.8734 0.5000 0.9619
0.6266 0.5000 0.4619
0.1266 0.5000 0.0381
0.5468 0.2035 0.9076
0.7503 0.0000 0.7588
0.0469 0.2033 0.8891
0.4531 0.2033 0.3891
0.2503 0.0000 0.7412
0.7497 0.0000 0.2588
0.0468 0.7965 0.5924
0.9531 0.7967 0.1109
0.5469 0.7967 0.6109
0.2497 0.0000 0.2412
0.9532 0.2035 0.4076
0.4532 0.7965 0.0924
0.7499 0.0001 0.0091
0.2501 0.9999 0.9909
0.7501 0.0001 0.5091
0.2499 0.9999 0.4909
```


Stability check: which of them is most stable? *B*.